Entry 1:
DFT (GGA+U) results for a geometry-optimized PmVPbO5 structure.

Geometry as POSCAR:
```
PmVPbO5
1.0
3.691 -5.057 0.000
3.691 5.057 0.000
-3.275 0.000 7.445
Pm V Pb O
2 2 2 10
direct
0.000 0.000 0.000
0.000 0.000 0.500
0.314 0.686 0.750
0.686 0.314 0.250
0.312 0.688 0.250
0.688 0.312 0.750
0.099 0.674 0.861
0.099 0.901 0.250
0.243 0.412 0.594
0.326 0.901 0.639
0.412 0.243 0.094
0.588 0.757 0.906
0.674 0.099 0.361
0.757 0.588 0.406
0.901 0.099 0.750
0.901 0.326 0.139
```

***

Entry 2:
DFT (GGA+U) results for a geometry-optimized Pm2PbWO8 structure.

Geometry as POSCAR:
```
Pm2PbWO8
1.0
3.504 -3.673 0.000
3.504 3.673 0.000
-0.083 0.000 7.004
Pm Pb W O
2 1 1 8
direct
0.021 0.021 0.258
0.979 0.979 0.742
0.500 0.500 0.000
0.500 0.500 0.500
0.208 0.208 0.987
0.223 0.223 0.518
0.306 0.665 0.289
0.335 0.694 0.711
0.665 0.306 0.289
0.694 0.335 0.711
0.777 0.777 0.482
0.792 0.792 0.013
```

***

Across the entries above, uncorrected energy takes the values -117.2; -87.5 eV/cell, respectively.